No. 1
This record from Alexandria describes BeZn2Cr after structural relaxation. The functional is GGA-PBEsol.

The formation energy is 224 meV per atom. The calculation puts the density at 6.98 g/cm3.

Cell: 2.5626 4.1589 8.5583 Å, 90.00 90.00 90.00°
Closest atoms and distances in Å follow each position.
Space group Immm (No. 71)
Asymmetric unit:
Be 0.0000 0.0000 0.0000 (multiplicity 2)  4 Zn 2.33, 4 Cr 2.44, 2 Be 2.56
Zn 0.0000 0.5000 0.2730 (multiplicity 4)  2 Be 2.33, 6 Zn 2.47-2.56
Cr 0.0000 0.0000 0.5000 (multiplicity 2)  4 Be 2.44, 2 Cr 2.56, 4 Zn 2.66



No. 2
This record from Alexandria describes Be2ZnCr after structural relaxation. The functional is GGA-PBEsol.

The formation energy is 127 meV per atom. The calculation puts the density at 5.56 g/cm3.

Cell: 3.6564 2.4652 8.9733 Å, 90.00 90.00 90.00°
Closest atoms and distances in Å follow each position.
Space group Amm2 (No. 38)
Asymmetric unit:
Be 0.0000 0.0000 0.0000 (multiplicity 2)  2 Be 2.19, 1 Zn 2.33, 4 Cr 2.38
Be 0.5000 0.0000 0.1338 (multiplicity 2)  2 Be 2.19, 3 Cr 2.40-2.42, 4 Zn 2.41
Zn 0.0000 0.0000 0.7408 (multiplicity 2)  7 Be 2.33-2.49, 2 Zn 2.47
Cr 0.5000 0.0000 0.4012 (multiplicity 2)  7 Be 2.38-2.42, 2 Cr 2.47, 4 Zn 2.63



No. 3
This record from Alexandria describes Be2ZnCr after structural relaxation. The functional is GGA-PBEsol.

The formation energy is 110 meV per atom. The calculation puts the density at 5.47 g/cm3.

Cell: 3.0341 3.6845 7.3580 Å, 90.00 90.00 90.00°
Closest atoms and distances in Å follow each position.
Space group Cmmm (No. 65)
Asymmetric unit:
Be 0.0000 0.0000 0.2385 (multiplicity 4)  4 Cr 2.32-2.54, 4 Be 2.39, 2 Zn 2.45
Zn 0.0000 0.5000 0.5000 (multiplicity 2)  4 Zn 2.39, 8 Be 2.45-2.66
Cr 0.0000 0.5000 0.0000 (multiplicity 2)  8 Be 2.32-2.54, 4 Cr 2.39



No. 4
This record from Alexandria describes Zr2BeCr after structural relaxation. The functional is GGA-PBEsol.

The formation energy is 418 meV per atom. The calculation puts the density at 6.04 g/cm3.

Cell: 3.1852 3.1852 22.8415 Å, 90.00 90.00 120.00°
Closest atoms and distances in Å follow each position.
Space group R-3m (No. 166, hexagonal axes)
Asymmetric unit:
Zr 0.0000 0.0000 0.2504 (multiplicity 6)  3 Cr 2.64, 3 Be 2.65
Be 0.0000 0.0000 0.5000 (multiplicity 3)  6 Zr 2.65
Cr 0.0000 0.0000 0.0000 (multiplicity 3)  6 Zr 2.64



No. 5
This record from Alexandria describes CsBeCuSi2 after structural relaxation. The functional is GGA-PBEsol.

The calculation puts the density at 3.42 g/cm3. The calculation puts the formation energy from raw total energies at 1103 meV per atom.

Cell: 4.4764 4.4764 6.3333 Å, 90.00 90.00 90.00°
Closest atoms and distances in Å follow each position.
Space group P4/mmm (No. 123)
Asymmetric unit:
Cs 0.0000 0.0000 0.0000 (multiplicity 1)  4 Be 3.17, 2 Cu 3.17
Be 0.5000 0.5000 0.0000 (multiplicity 1)  4 Cs 3.17
Cu 0.0000 0.0000 0.5000 (multiplicity 1)  4 Si 2.24
Si 0.0000 0.5000 0.5000 (multiplicity 2)  2 Cu 2.24



No. 6
This record from Alexandria describes CsBeF3 after structural relaxation. The functional is GGA-PBEsol.

The calculation puts the density at 3.67 g/cm3. The calculation puts the formation energy from raw total energies at -3157 meV per atom.

Cell: 4.8098 5.9802 12.5323 Å, 90.00 90.00 90.00°
Closest atoms and distances in Å follow each position.
Space group Pnma (No. 62)
Asymmetric unit:
Cs 0.2393 0.2500 0.1026 (multiplicity 4)  6 F 2.94-3.03
Be 0.1886 0.7500 0.3212 (multiplicity 4)  4 F 1.52-1.61
F 0.1338 0.2500 0.7137 (multiplicity 4)  2 Be 1.59-1.61
F 0.2433 0.5358 0.3838 (multiplicity 8)  1 Be 1.52



No. 7
This record from Alexandria describes CsBeF2 after structural relaxation. The functional is GGA-PBEsol.

The calculation puts the density at 2.77 g/cm3. The calculation puts the formation energy from raw total energies at -2111 meV per atom.

Cell: 4.5578 4.5578 17.9622 Å, 90.00 90.00 120.00°
Closest atoms and distances in Å follow each position.
Space group R-3m (No. 166, hexagonal axes)
Asymmetric unit:
Cs 0.0000 0.0000 0.0000 (multiplicity 3)  6 F 3.05
Be 0.0000 0.0000 0.5000 (multiplicity 3)  2 F 1.45
F 0.0000 0.0000 0.4191 (multiplicity 6)  1 Be 1.45



No. 8
This record from Alexandria describes Cs2BeIF after structural relaxation. The functional is GGA-PBEsol.

The calculation puts the density at 4.11 g/cm3. The calculation puts the formation energy from raw total energies at -952 meV per atom.

Cell: 6.3084 6.3084 4.2679 Å, 90.00 90.00 90.00°
Closest atoms and distances in Å follow each position.
Space group P4/mmm (No. 123)
Asymmetric unit:
Cs 0.0000 0.5000 0.0000 (multiplicity 2)  2 F 3.15
Be 0.0000 0.0000 0.5000 (multiplicity 1)  2 F 2.13
I 0.5000 0.5000 0.5000 (multiplicity 1)  8 Cs 3.81
F 0.0000 0.0000 0.0000 (multiplicity 1)  2 Be 2.13